## Sc3Te3Se (GGA-PBE)

Data for a geometry-optimized Sc3Te3Se structure.

Summary:
Raw formation energy in eV per atom: -1.33

```
data_Sc3Te3Se
_chemical_formula_sum 'Sc24 Te24 Se8'
_cell_length_a 11.438
_cell_length_b 11.438
_cell_length_c 11.438
_cell_angle_alpha 90.00
_cell_angle_beta 90.00
_cell_angle_gamma 90.00
_symmetry_space_group_name_H-M 'I 41 3 2'
_symmetry_Int_Tables_number 214
_symmetry_space_group_name_Hall 'I 4bd 2c 3'
loop_
_atom_site_label
_atom_site_fract_x
_atom_site_fract_y
_atom_site_fract_z
_atom_site_occupancy
Sc1 0.121 0.371 0.125 1
Te1 0.122 0.128 0.625 1
Se1 0.125 0.125 0.125 1
```